Record 1
First-principles (PBE) data for a relaxed Ca3TbAl8 crystal, as listed in the Alexandria database.

The structure in CIF format:
```
data_Ca3TbAl8
_chemical_formula_sum 'Ca3 Tb1 Al8'
_cell_length_a 5.6547
_cell_length_b 5.6547
_cell_length_c 9.1657
_cell_angle_alpha 90.00
_cell_angle_beta 90.00
_cell_angle_gamma 120.00
_space_group_name_H-M_alt 'P 3 m 1'
_space_group_IT_number 156
_space_group_name_Hall 'P 3 -2"'
loop_
_atom_site_label
_atom_site_fract_x
_atom_site_fract_y
_atom_site_fract_z
Ca1 0.0000 0.0000 0.0000
Ca2 0.0000 0.0000 0.3665
Ca3 0.3333 0.6667 0.8678
Tb1 0.3333 0.6667 0.5013
Al1 0.0089 0.5044 0.1865
Al2 0.3259 0.1630 0.6804
Al3 0.6667 0.3333 0.4343
Al4 0.6667 0.3333 0.9350
```

Calculated values
- Energy of formation from the pure elements: -4.33 eV/f.u.
- DFT total energy: -44.9 eV per cell
- ΔE to the lowest computed polymorph: 0.013 eV/atom

=====

Record 2
First-principles (PBE) data for a relaxed Pm2Nd3Dy3 crystal, as listed in the Alexandria database.

The structure in CIF format:
```
data_Pm2Nd3Dy3
_chemical_formula_sum 'Pm8 Nd12 Dy12'
_cell_length_a 5.635
_cell_length_b 12.017
_cell_length_c 16.162
_cell_angle_alpha 90.00
_cell_angle_beta 90.00
_cell_angle_gamma 90.00
_space_group_name_H-M_alt 'C m c m'
_space_group_IT_number 63
_space_group_name_Hall '-C 2c 2'
loop_
_atom_site_label
_atom_site_fract_x
_atom_site_fract_y
_atom_site_fract_z
Pm1 0.000 0.221 0.128
Nd1 0.000 0.076 0.594
Nd2 0.000 0.266 0.750
Dy1 0.000 0.381 0.550
Dy2 0.000 0.459 0.250
```

Calculated values
- Energy of formation from the pure elements: 1.01 eV/f.u.
- DFT total energy: -146.4 eV per cell
- ΔE to the lowest computed polymorph: 0.110 eV/atom

=====

Record 3
First-principles (PBE) data for a relaxed DySc2Rh crystal, as listed in the Alexandria database.

The structure in CIF format:
```
data_DySc2Rh
_chemical_formula_sum 'Dy3 Sc6 Rh3'
_cell_length_a 3.4247
_cell_length_b 3.4247
_cell_length_c 27.9712
_cell_angle_alpha 90.00
_cell_angle_beta 90.00
_cell_angle_gamma 120.00
_space_group_name_H-M_alt 'R -3 m'
_space_group_IT_number 166
_space_group_name_Hall '-R 3 2"'
loop_
_atom_site_label
_atom_site_fract_x
_atom_site_fract_y
_atom_site_fract_z
Dy1 0.0000 0.0000 0.0000
Sc1 0.0000 0.0000 0.2292
Rh1 0.0000 0.0000 0.5000
```

Calculated values
- Energy of formation from the pure elements: -1.14 eV/f.u.
- DFT total energy: -77.3 eV per cell
- ΔE to the lowest computed polymorph: 0.243 eV/atom

=====

Record 4
First-principles (PBE) data for a relaxed NpVP2Rh crystal, as listed in the Alexandria database.

The structure in CIF format:
```
data_NpVP2Rh
_chemical_formula_sum 'Np2 V2 P4 Rh2'
_cell_length_a 3.930
_cell_length_b 3.930
_cell_length_c 10.329
_cell_angle_alpha 90.00
_cell_angle_beta 90.00
_cell_angle_gamma 90.00
_space_group_name_H-M_alt 'I -4 m 2'
_space_group_IT_number 119
_space_group_name_Hall 'I -4 -2'
loop_
_atom_site_label
_atom_site_fract_x
_atom_site_fract_y
_atom_site_fract_z
Np1 0.000 0.000 0.000
V1 0.000 0.500 0.250
P1 0.000 0.000 0.382
Rh1 0.000 0.500 0.750
```

Calculated values
- Energy of formation from the pure elements: -3.65 eV/f.u.
- DFT total energy: -87.8 eV per cell

=====

Record 5
First-principles (PBE) data for a relaxed Sm3Dy3Mg crystal, as listed in the Alexandria database.

The structure in CIF format:
```
data_Sm3Dy3Mg
_chemical_formula_sum 'Sm6 Dy6 Mg2'
_cell_length_a 9.5138
_cell_length_b 9.5138
_cell_length_c 5.6353
_cell_angle_alpha 90.00
_cell_angle_beta 90.00
_cell_angle_gamma 120.00
_space_group_name_H-M_alt 'P 63/m'
_space_group_IT_number 176
_space_group_name_Hall '-P 6c'
loop_
_atom_site_label
_atom_site_fract_x
_atom_site_fract_y
_atom_site_fract_z
Sm1 0.1019 0.6282 0.2500
Dy1 0.0537 0.8166 0.7500
Mg1 0.3333 0.6667 0.7500
```

Calculated values
- Energy of formation from the pure elements: 0.10 eV/f.u.
- DFT total energy: -58.9 eV per cell
- ΔE to the lowest computed polymorph: 0.000 eV/atom

=====

Record 6
First-principles (PBE) data for a relaxed Mo8C crystal, as listed in the Alexandria database.

The structure in CIF format:
```
data_Mo8C
_chemical_formula_sum 'Mo16 C2'
_cell_length_a 7.657
_cell_length_b 7.657
_cell_length_c 4.765
_cell_angle_alpha 90.00
_cell_angle_beta 90.00
_cell_angle_gamma 90.00
_space_group_name_H-M_alt 'I 4/m m m'
_space_group_IT_number 139
_space_group_name_Hall '-I 4 2'
loop_
_atom_site_label
_atom_site_fract_x
_atom_site_fract_y
_atom_site_fract_z
Mo1 0.000 0.284 0.000
Mo2 0.164 0.164 0.500
C1 0.000 0.000 0.000
```

Calculated values
- Energy of formation from the pure elements: 4.56 eV/f.u.
- DFT total energy: -182.6 eV per cell